(1)
PmZrCdHg: optimized geometry, PBE-GGA.

Unit cell a=7.349 b=7.349 c=7.349 alpha=90.00 beta=90.00 gamma=90.00
Sites, in units of the cell vectors:
Pm 0.000 0.000 0.000
Pm 0.000 0.500 0.500
Pm 0.500 0.000 0.500
Pm 0.500 0.500 0.000
Zr 0.000 0.000 0.500
Zr 0.000 0.500 0.000
Zr 0.500 0.000 0.000
Zr 0.500 0.500 0.500
Cd 0.250 0.250 0.250
Cd 0.250 0.750 0.750
Cd 0.750 0.250 0.750
Cd 0.750 0.750 0.250
Hg 0.250 0.250 0.750
Hg 0.250 0.750 0.250
Hg 0.750 0.250 0.250
Hg 0.750 0.750 0.750

Output
* DOS(E_F): 1.2406 states/eV/atom
* final energy: -3.792 eV per atom
* space-group type: F-43m

(2)
Pr3Cd9Hg2: optimized geometry, PBE-GGA.

Unit cell a=9.030 b=9.030 c=9.030 alpha=148.13 beta=112.54 gamma=76.55
Sites, in units of the cell vectors:
Pr 0.000 0.000 0.000
Pr 0.296 0.296 0.000
Pr 0.704 0.704 0.000
Cd 0.019 0.656 0.363
Cd 0.137 0.857 0.280
Cd 0.293 0.656 0.637
Cd 0.423 0.143 0.280
Cd 0.500 0.000 0.500
Cd 0.577 0.857 0.720
Cd 0.707 0.344 0.363
Cd 0.863 0.143 0.720
Cd 0.981 0.344 0.637
Hg 0.325 0.500 0.825
Hg 0.675 0.500 0.175

Output
* DOS(E_F): 0.6936 states/eV/atom
* final energy: -1.919 eV per atom
* space-group type: Immm

(3)
PrCdHg4: optimized geometry, PBE-GGA.

Unit cell a=6.045 b=6.045 c=6.045 alpha=60.00 beta=60.00 gamma=60.00
Sites, in units of the cell vectors:
Pr 0.000 0.000 0.000
Cd 0.250 0.250 0.250
Hg 0.125 0.625 0.625
Hg 0.625 0.125 0.625
Hg 0.625 0.625 0.125
Hg 0.625 0.625 0.625

Output
* DOS(E_F): 0.7088 states/eV/atom
* ΔE to the lowest computed polymorph: 165 meV/atom
* space-group type: F-43m

(4)
Pr12Cd6Hg: optimized geometry, PBE-GGA.

Unit cell a=9.278 b=9.278 c=9.278 alpha=111.16 beta=111.16 gamma=111.16
Sites, in units of the cell vectors:
Pr 0.031 0.301 0.178
Pr 0.178 0.031 0.301
Pr 0.239 0.607 0.675
Pr 0.301 0.178 0.031
Pr 0.325 0.761 0.393
Pr 0.393 0.325 0.761
Pr 0.607 0.675 0.239
Pr 0.675 0.239 0.607
Pr 0.699 0.822 0.969
Pr 0.761 0.393 0.325
Pr 0.822 0.969 0.699
Pr 0.969 0.699 0.822
Cd 0.076 0.857 0.553
Cd 0.143 0.447 0.924
Cd 0.447 0.924 0.143
Cd 0.553 0.076 0.857
Cd 0.857 0.553 0.076
Cd 0.924 0.143 0.447
Hg 0.500 0.500 0.500

Output
* DOS(E_F): 1.3166 states/eV/atom
* final energy: -3.469 eV per atom
* space-group type: R-3